Entry 1:
5
Lattice="4.802 0.000 0.000 0.000 4.802 0.000 0.000 0.000 4.802" Properties=species:S:1:pos:R:3 comment="Mn3CuIr PBE optimized geometry" m_tot_mub_per_cell=13.1 de_polymorph_mev_per_atom=0 final_energy_ev_per_cell=-34.9 pbc="T T T"
Mn 0.000 2.401 0.000
Mn 2.401 0.000 0.000
Ir 0.000 0.000 0.000
Mn 0.000 0.000 2.401
Cu 2.401 2.401 2.401

Entry 2:
5
Lattice="4.439 0.000 0.000 0.000 4.439 0.000 0.000 0.000 4.439" Properties=species:S:1:pos:R:3 comment="MnCuIr3 PBE optimized geometry" m_tot_mub_per_cell=0.0 de_polymorph_mev_per_atom=0 final_energy_ev_per_cell=-32.8 pbc="T T T"
Ir 0.000 0.000 2.220
Mn 0.000 0.000 0.000
Ir 0.000 2.220 0.000
Ir 2.220 0.000 0.000
Cu 2.220 2.220 2.220

Entry 3:
4
Lattice="2.748 0.000 0.000 0.000 2.748 0.000 0.000 0.000 7.307" Properties=species:S:1:pos:R:3 comment="MnCuIr2 PBE optimized geometry" m_tot_mub_per_cell=3.3 final_energy_ev_per_cell=-30.7 pbc="T T T"
Ir 0.000 0.000 7.275
Mn 0.000 0.000 3.693
Ir 1.374 1.374 1.852
Cu 1.374 1.374 5.447

Entry 4:
4
Lattice="4.480 0.008 0.000 -1.155 4.329 0.000 0.000 0.000 2.795" Properties=species:S:1:pos:R:3 comment="MnCuIr2 PBE optimized geometry" m_tot_mub_per_cell=3.5 final_energy_ev_per_cell=-30.8 pbc="T T T"
Cu -0.578 2.164 1.397
Ir 1.662 2.168 0.000
Ir 0.000 0.000 0.000
Mn 2.240 0.004 1.397

Entry 5:
4
Lattice="-0.915 3.747 2.338 -4.042 1.385 -1.445 1.275 -4.064 1.484" Properties=species:S:1:pos:R:3 comment="MnCuIr2 PBE optimized geometry" m_tot_mub_per_cell=2.1 final_energy_ev_per_cell=-31.2 pbc="T T T"
Ir -2.478 2.566 0.446
Ir 0.000 0.000 0.000
Cu -1.059 1.125 2.134
Mn -2.623 -0.056 0.242

Entry 6:
4
Lattice="-3.516 7.686 1.833 -5.540 6.097 2.631 -3.502 6.628 4.311" Properties=species:S:1:pos:R:3 comment="MnCuIr2 PBE optimized geometry" m_tot_mub_per_cell=1.4 final_energy_ev_per_cell=-31.0 pbc="T T T"
Cu -9.419 15.308 6.581
Ir -12.520 20.349 8.748
Mn -3.140 5.103 2.194
Ir -6.317 10.267 4.414